#1
Compound: CeTlW2O8
Source: Alexandria via LeMat-Bulk
Functional: PBE with a Hubbard U
Structure: optimized geometry

POSCAR file:
```
CeTlW2O8
1.0
7.798 0.022 0.024
0.061 7.797 0.024
3.411 3.394 5.736
W O Ce Tl
4 16 2 2
Direct
0.298 0.312 0.206
0.688 0.702 0.294
0.312 0.298 0.706
0.702 0.688 0.794
0.251 0.369 0.943
0.228 0.043 0.310
0.629 0.937 0.131
0.626 0.411 0.531
0.937 0.629 0.631
0.371 0.063 0.869
0.063 0.371 0.369
0.589 0.374 0.969
0.043 0.228 0.810
0.374 0.589 0.469
0.749 0.631 0.057
0.411 0.626 0.031
0.957 0.772 0.190
0.631 0.749 0.557
0.772 0.957 0.690
0.369 0.251 0.443
0.776 0.224 0.750
0.224 0.776 0.250
0.785 0.215 0.250
0.215 0.785 0.750
```

Results
The size of the total moment is 0.0838 μB per atom. Its space group is C2/c.

---

#2
Compound: CeTlW2O8
Source: Alexandria via LeMat-Bulk
Functional: PBE with a Hubbard U
Structure: optimized geometry

POSCAR file:
```
CeTlW2O8
1.0
-3.629 -8.565 1.222
4.170 0.634 -8.380
4.998 -4.843 -0.580
O Tl W Ce
16 2 4 2
Direct
0.789 0.166 0.723
0.012 0.012 0.680
0.526 0.526 0.750
0.837 0.668 0.302
0.163 0.332 0.698
0.137 0.312 0.302
0.312 0.137 0.302
0.332 0.163 0.698
0.166 0.789 0.723
0.688 0.863 0.698
0.668 0.837 0.302
0.863 0.688 0.698
0.474 0.474 0.250
0.211 0.834 0.277
0.834 0.211 0.277
0.988 0.988 0.320
0.714 0.286 0.000
0.286 0.714 0.000
0.261 0.261 0.499
0.881 0.119 0.500
0.119 0.881 0.500
0.739 0.739 0.501
0.741 0.741 0.036
0.259 0.259 0.964
```

Results
The size of the total moment is 0.0837 μB per atom. Its space group is C2/m.

---

It turns out #1 is the most stable, with the second structure 0.099 eV/atom higher.